The following is a meta-GGA SCAN calculation of a crystal of Sc3AsH relaxed with PBEsol, from the Alexandria database.

Cell: 4.2545 4.2545 4.2545 Å, 90.00 90.00 90.00°
Last column: nearest neighbours and their distance in Å.
Sites, in units of the cell vectors:
1 Sc 0.0000 0.5000 0.0000  2 H 2.13
2 Sc 0.0000 0.0000 0.5000  2 H 2.13
3 Sc 0.5000 0.0000 0.0000  2 H 2.13
4 As 0.5000 0.5000 0.5000  12 Sc 3.01
5 H 0.0000 0.0000 0.0000  6 Sc 2.13

Computed properties:
- Fermi-level density of states (states/eV/cell) = 6.6
- E_tot (eV per atom) = -13.8368

***

The following is a meta-GGA SCAN calculation of a crystal of BeTlTe2I relaxed with PBEsol, from the Alexandria database.

Cell: 4.9897 4.9897 5.5592 Å, 90.00 90.00 90.00°
Last column: nearest neighbours and their distance in Å.
Sites, in units of the cell vectors:
1 I 0.0000 0.0000 0.5000  2 Be 2.78
2 Te 0.5000 0.0000 0.0000  2 Be 2.49
3 Te 0.0000 0.5000 0.0000  2 Be 2.49
4 Be 0.0000 0.0000 0.0000  4 Te 2.49, 2 I 2.78
5 Tl 0.5000 0.5000 0.5000  4 I 3.53, 8 Te 3.74

Computed properties:
- Fermi-level density of states (states/eV/cell) = 3.0
- uncorrected formation energy (meV/atom) = 60

***

Question: Among the records above, which one has the highest Fermi-level density of states?
Answer: Sc3AsH

***

Question: What is the formula in the second record?
Answer: BeTlTe2I